Here is a relaxed structure of PmTiBr from Alexandria via LeMat-Bulk. Energies are from PBE-GGA.

Computed properties:
The total magnetization is 0.0 μB/cell. As for the space group: C2/m. Its density of states at the Fermi level is 0.87 states/eV/atom. As for the uncorrected energy: -5.32 eV per atom.

Cell: 4.442 4.442 13.885 Å, 65.93 65.93 48.44°
Fractional positions:
Ti1 0.757 0.757 0.639
Ti2 0.996 0.996 0.669
Pm1 0.598 0.598 0.449
Pm2 0.155 0.155 0.858
Br1 0.412 0.412 0.302
Br2 0.341 0.341 0.005